DFT (PBE+U) results for a relaxed Ba2NaVF6 crystal.

Calculated values
SG ... R-3m, No. 166
Magnetization ... 3.66 μB/f.u.
Raw total energy ... -106.27 eV/cell
DOS at the Fermi energy ... 4.4 states/eV per cell

Cell lengths 6.3086, 6.3086, 10.6662 Å; angles 72.80, 72.80, 60.00 degrees
Last column: magnetic moment on the atom in μB.
Atoms (fractional coordinates):
1 Na 0.6019 0.6019 0.1944  0.02
2 Na 0.3981 0.3981 0.8056  0.02
3 F 0.7757 0.1913 0.8418  0.01
4 F 0.1913 0.1913 0.8418  0.01
5 F 0.8087 0.2243 0.1582  0.01
6 F 0.8087 0.8087 0.1582  0.01
7 F 0.1913 0.7757 0.8418  0.01
8 F 0.6311 0.6311 0.6090  0.01
9 F 0.3689 0.8712 0.3910  0.01
10 F 0.2243 0.8087 0.1582  0.01
11 F 0.3689 0.3689 0.3910  0.01
12 F 0.8712 0.3689 0.3910  0.01
13 F 0.1288 0.6311 0.6090  0.01
14 F 0.6311 0.1288 0.6090  0.01
15 Ba 0.2735 0.2735 0.1795  0.13
16 Ba 0.7265 0.7265 0.8205  0.13
17 Ba 0.8741 0.8741 0.3778  0.02
18 Ba 0.1259 0.1259 0.6222  0.02
19 V 0.5000 0.5000 0.5000  2.75
20 V 0.0000 0.0000 0.0000  2.74